First-principles (GGA-PBE) data for a relaxed NpAg6 crystal, as listed in Alexandria.

Computed properties:
DFT formation energy = 5.84 eV/f.u.
DOS at the Fermi energy = 27.99 states/eV/cell
size of the total moment = 10.3 Bohr magnetons per cell

abc: 7.375 7.375 7.375
angles: 90.00 90.00 90.00
Space group Im-3m (No. 229)
Asymmetric unit:
Np1 0.000 0.000 0.000 (multiplicity 2)
Ag1 0.000 0.250 0.500 (multiplicity 12)